(1)
Ce4AuSeS2 (PBE, optimized geometry); DFT total energy = -6.4028 eV per atom; formation energy (no corrections) = -1.56 eV per atom; DOS(E_F) = 24.05 states/eV/cell
1.0
7.196 0.000 0.000
0.000 4.091 0.000
-2.363 0.000 6.845
Ce Au Se S
4 1 1 2
Cartesian
1.183 0.000 1.578
-0.011 2.046 5.265
4.843 2.046 1.580
3.650 0.000 5.267
2.416 2.046 3.422
-1.181 0.000 3.422
0.000 2.046 0.000
3.598 0.000 0.000


(2)
Ce3Tl4AuS8 (PBE, optimized geometry); DFT total energy = -5.0560 eV per atom; formation energy (no corrections) = -1.08 eV per atom; DOS(E_F) = 11.75 states/eV/cell
1.0
7.189 -4.017 0.000
7.189 4.017 0.000
-4.708 0.000 7.490
Ce Tl Au S
3 4 1 8
Cartesian
0.000 0.000 0.000
3.595 2.009 0.000
3.595 -2.009 0.000
-2.354 0.000 3.745
1.241 2.009 3.745
1.241 -2.009 3.745
4.835 0.000 3.745
7.189 0.000 0.000
2.380 0.000 1.521
5.982 1.987 1.459
-0.148 0.000 5.893
3.689 1.987 6.031
5.982 -1.987 1.459
9.819 0.000 1.597
3.689 -1.987 6.031
7.291 0.000 5.970


(3)
Ce3Sb3Au2 (PBE, optimized geometry); DFT total energy = -5.4569 eV per atom; formation energy (no corrections) = -0.87 eV per atom; DOS(E_F) = 40.06 states/eV/cell
1.0
4.651 0.000 0.000
-2.325 4.028 0.000
0.000 0.000 23.801
Ce Sb Au
6 6 4
Cartesian
0.000 2.685 1.776
0.000 2.685 5.950
0.000 2.685 10.124
2.325 1.343 13.677
2.325 1.343 17.851
2.325 1.343 22.024
0.000 0.000 0.000
0.000 0.000 11.900
0.000 2.685 15.532
0.000 2.685 20.169
2.325 1.343 3.632
2.325 1.343 8.269
0.000 0.000 4.454
0.000 0.000 7.446
0.000 0.000 16.354
0.000 0.000 19.347


(4)
Ce3Sb4Au3 (PBE, optimized geometry); DFT total energy = -5.2099 eV per atom; formation energy (no corrections) = -0.80 eV per atom; DOS(E_F) = 41.29 states/eV/cell
1.0
-5.057 5.057 5.057
5.057 -5.057 5.057
5.057 5.057 -5.057
Ce Sb Au
6 8 6
Cartesian
5.057 -2.528 3.793
3.793 5.057 -2.528
5.057 2.528 1.264
2.528 1.264 5.057
1.264 5.057 2.528
-2.528 3.793 5.057
3.425 1.632 -1.632
5.953 -0.896 0.896
1.632 -1.632 3.425
1.632 1.632 1.632
-1.632 3.425 1.632
0.896 5.953 -0.896
-0.896 0.896 5.953
4.160 4.160 4.160
7.585 1.264 0.000
3.793 0.000 2.528
2.528 3.793 0.000
0.000 2.528 3.793
1.264 0.000 7.585
0.000 7.585 1.264


(5)
Ce2Sb2Au15 (PBE, optimized geometry); DFT total energy = -3.8650 eV per atom; formation energy (no corrections) = -0.22 eV per atom; DOS(E_F) = 22.95 states/eV/cell
1.0
4.947 2.856 4.724
-4.947 2.856 4.724
0.000 -5.712 4.724
Ce Sb Au
2 2 15
Cartesian
0.000 0.000 2.103
0.000 0.000 12.069
0.000 0.000 5.567
0.000 0.000 8.605
-2.473 -1.428 4.724
0.000 -2.947 4.716
-2.552 1.473 4.716
-1.655 -2.866 7.086
-3.309 0.000 7.086
-2.552 -1.473 9.456
-2.473 1.428 9.448
1.655 -2.866 7.086
0.000 2.856 4.724
-1.655 2.866 7.086
2.552 1.473 4.716
3.309 0.000 7.086
1.655 2.866 7.086
2.552 -1.473 9.457
0.000 2.947 9.457


(6)
Ce8Sb5Au (PBE, optimized geometry); DFT total energy = -5.9242 eV per atom; formation energy (no corrections) = -0.83 eV per atom; DOS(E_F) = 54.20 states/eV/cell
1.0
-4.679 4.679 4.724
4.679 -4.679 4.724
4.679 4.679 -4.724
Ce Sb Au
8 5 1
Cartesian
6.413 0.684 -0.440
1.657 -0.711 2.821
0.684 2.945 0.440
3.022 5.390 -1.903
3.968 3.022 1.903
3.995 1.734 5.165
0.711 1.657 6.627
-1.734 3.995 4.284
3.558 2.337 -1.180
4.679 0.000 2.362
2.342 -1.122 5.904
1.122 2.342 3.545
2.337 5.801 1.180
0.000 0.000 0.000